5
Lattice="-3.765 -3.352 -0.080 2.672 -2.927 -3.117 1.985 -2.323 3.884" Properties=species:S:1:pos:R:3 comment="SbIrSeBr2, relaxed, DFT PBE" e_form_raw_ev_per_atom=0.3926 polymorph_energy_mev_per_atom=0 dft_energy_ha_per_atom=-0.131 magmom_total_mub_per_fu=0.000 vol_a3_per_cell=126 sg="P4/mmm, No. 123" pbc="T T T"
Br 1.336 -1.463 -1.558
Br -1.883 -1.676 -0.040
Sb 0.446 -4.301 0.343
Ir 0.000 0.000 0.000
Se 0.993 -1.161 1.942